# GGA+U FeSeNO2, relaxed
data_FeSeNO2
_chemical_formula_sum 'Fe1 Se1 N1 O2'
_cell_length_a 3.9827
_cell_length_b 3.9827
_cell_length_c 3.6445
_cell_angle_alpha 90.00
_cell_angle_beta 90.00
_cell_angle_gamma 90.00
_space_group_name_H-M_alt 'P 1'
_space_group_IT_number 1
loop_
_space_group_symop_operation_xyz
'x,y,z'
loop_
_atom_site_label
_atom_site_type_symbol
_atom_site_fract_x
_atom_site_fract_y
_atom_site_fract_z
O1 O 0.0000 0.5000 0.0000
O2 O 0.5000 0.0000 0.0000
Fe1 Fe 0.0000 0.0000 0.5000
Se1 Se 0.5000 0.5000 0.5000
N1 N 0.0000 0.0000 0.0000
# Uncorrected energy ... -0.310 Ry/atom
# Space group ... P4/mmm (123)